# TaBeNiSb

Crystalline TaBeNiSb at its relaxed geometry (PBE, the Open Quantum Materials Database).

Structure (CIF):
```
data_TaBeNiSb
_chemical_formula_sum 'Ta1 Be1 Ni1 Sb1'
_cell_length_a 4.4249
_cell_length_b 4.4249
_cell_length_c 4.4249
_cell_angle_alpha 60.00
_cell_angle_beta 60.00
_cell_angle_gamma 60.00
_space_group_name_H-M_alt 'P 1'
_space_group_IT_number 1
loop_
_space_group_symop_operation_xyz
'x,y,z'
loop_
_atom_site_label
_atom_site_fract_x
_atom_site_fract_y
_atom_site_fract_z
_atom_site_occupancy
Be1 0.5000 0.5000 0.5000 1
Ni1 0.7500 0.7500 0.7500 1
Sb1 0.0000 0.0000 0.0000 1
Ta1 0.2500 0.2500 0.2500 1
```

Properties
Polymorph energy (0 for the lowest one) = 0.0000 eV/atom
Space group = F-43m
Electronic total energy = -5.93 eV per atom